# 1
Compound: Y3Tm5Tl2
Source: Alexandria
Functional: PBE-GGA
Structure: optimized geometry

a = 6.3666 Å, b = 10.4599 Å, c = 10.4599 Å
α = 94.35°, β = 72.28°, γ = 72.28°
Last column: nearest neighbours and their distance in Å.
Fractional positions:
Tm1 0.6140 0.2215 0.5504  1 Tl 2.92
Y1 0.2500 0.0000 0.0000  2 Y 3.18, 2 Tm 3.21, 4 Tl 3.24
Tm2 0.2500 0.5000 0.5000  8 Tm 3.14-3.32
Tm3 0.4972 0.2528 0.2528  2 Tl 3.13, 5 Tm 3.14-3.43, 1 Y 3.21
Y2 0.8805 0.8944 0.3446  4 Tl 3.41-3.70, 4 Tm 3.42-3.61
Tm4 0.8860 0.4496 0.7785  1 Tl 2.92
Y3 0.1195 0.1056 0.6554  4 Tl 3.41-3.70, 4 Tm 3.42-3.61
Tm5 0.1140 0.5504 0.2215  1 Tl 2.92
Tl1 0.8655 0.2804 0.9887  3 Tm 2.92-3.13, 2 Y 3.24
Y4 0.6195 0.6554 0.1056  4 Tl 3.41-3.70, 4 Tm 3.42-3.61
Y5 0.3805 0.3446 0.8944  4 Tl 3.41-3.70, 4 Tm 3.42-3.61
Y6 0.7500 0.0000 0.0000  2 Y 3.18, 2 Tm 3.21, 4 Tl 3.24
Tm6 0.5028 0.7472 0.7472  2 Tl 3.13, 5 Tm 3.14-3.43, 1 Y 3.21
Tl2 0.6345 0.0113 0.7196  3 Tm 2.92-3.13, 2 Y 3.24
Tl3 0.3655 0.9887 0.2804  3 Tm 2.92-3.13, 2 Y 3.24
Tm7 0.3860 0.7785 0.4496  1 Tl 2.92
Tl4 0.1345 0.7196 0.0113  3 Tm 2.92-3.13, 2 Y 3.24
Tm8 0.0028 0.7472 0.7472  2 Tl 3.13, 5 Tm 3.14-3.43, 1 Y 3.21
Tm9 0.9972 0.2528 0.2528  2 Tl 3.13, 5 Tm 3.14-3.43, 1 Y 3.21
Tm10 0.7500 0.5000 0.5000  8 Tm 3.14-3.32

Calculated values
- SG: Ibam, No. 72


# 2
Compound: Y2Tm8Tl
Source: Alexandria
Functional: PBE-GGA
Structure: optimized geometry

a = 5.4861 Å, b = 6.3401 Å, c = 9.9663 Å
α = 85.06°, β = 105.98°, γ = 90.00°
Last column: nearest neighbours and their distance in Å.
Fractional positions:
Y1 0.7567 0.3307 0.5135  9 Tm 3.37-3.77, 2 Y 3.48
Tm1 0.5788 0.4033 0.1576  1 Tl 3.08, 3 Tm 3.16-3.30, 1 Y 3.40
Tm2 0.3390 0.1225 0.6779  1 Tl 3.11, 2 Y 3.37, 2 Tm 3.41
Tl1 0.5000 0.0000 0.0000  8 Tm 3.08-3.31
Tm3 0.1530 0.1975 0.3061  5 Tm 3.30-3.55, 4 Y 3.53-3.63
Tm4 0.8470 0.8025 0.6939  5 Tm 3.30-3.55, 4 Y 3.53-3.63
Y2 0.2433 0.6693 0.4865  9 Tm 3.37-3.77, 2 Y 3.48
Tm5 0.9548 0.2700 0.9095  2 Tl 3.31, 6 Tm 3.46-3.70
Tm6 0.4212 0.5967 0.8424  1 Tl 3.08, 3 Tm 3.16-3.30, 1 Y 3.40
Tm7 0.0452 0.7300 0.0905  2 Tl 3.31, 6 Tm 3.46-3.70
Tm8 0.6610 0.8775 0.3221  1 Tl 3.11, 2 Y 3.37, 2 Tm 3.41

Calculated values
- SG: C2/m, No. 12


# 3
Compound: YTm6Tl4
Source: Alexandria
Functional: PBE-GGA
Structure: optimized geometry

a = 3.7043 Å, b = 9.9458 Å, c = 9.9458 Å
α = 120.00°, β = 90.00°, γ = 90.00°
Last column: nearest neighbours and their distance in Å.
Fractional positions:
Tl1 0.5000 0.3237 0.1619  6 Tm 3.07-3.24, 2 Y 3.35
Tm1 0.5000 0.1907 0.8093  4 Tl 3.07-3.08
Tm2 0.0000 0.9219 0.4609  5 Tl 3.24-3.54
Tl2 0.5000 0.8381 0.1619  6 Tm 3.07-3.24, 2 Y 3.35
Y1 0.0000 0.0000 0.0000  6 Tl 3.35, 2 Y 3.70
Tm3 0.0000 0.5391 0.4609  5 Tl 3.24-3.54
Tm4 0.5000 0.1907 0.3814  4 Tl 3.07-3.08
Tl3 0.0000 0.3333 0.6667  6 Tm 3.08
Tm5 0.0000 0.5391 0.0781  5 Tl 3.24-3.54
Tl4 0.5000 0.8381 0.6763  6 Tm 3.07-3.24, 2 Y 3.35
Tm6 0.5000 0.6186 0.8093  4 Tl 3.07-3.08

Calculated values
- SG: P-6m2, No. 187


# 4
Compound: Y2TmTl
Source: Alexandria
Functional: PBE-GGA
Structure: optimized geometry

a = 4.8334 Å, b = 4.8513 Å, c = 4.8513 Å
α = 90.00°, β = 90.00°, γ = 90.00°
Last column: nearest neighbours and their distance in Å.
Fractional positions:
Y1 0.0000 0.0000 0.5000  4 Tl 3.42, 4 Tm 3.42, 4 Y 3.43
Tm1 0.5000 0.5000 0.5000  8 Y 3.42, 4 Tl 3.43
Tl1 0.5000 0.0000 0.0000  8 Y 3.42, 4 Tm 3.43
Y2 0.0000 0.5000 0.0000  4 Tm 3.42, 4 Tl 3.42, 4 Y 3.43

Calculated values
- SG: P4/mmm, No. 123
- Relative energy among the computed polymorphs: 0.04 eV per formula unit


# 5
Compound: YTm7Tl4
Source: Alexandria
Functional: PBE-GGA
Structure: optimized geometry

a = 5.7123 Å, b = 9.0333 Å, c = 7.9457 Å
α = 69.37°, β = 68.93°, γ = 71.57°
Last column: nearest neighbours and their distance in Å.
Fractional positions:
Tm1 0.5000 0.0000 0.0000  2 Y 2.86, 2 Tl 2.97
Tm2 0.2571 0.6967 0.7891  4 Tl 2.96-3.13
Tl1 0.5492 0.2869 0.6146  4 Tm 2.96-3.24, 1 Tl 3.24
Y1 0.0000 0.0000 0.0000  2 Tm 2.86
Tm3 0.0693 0.5902 0.2712  3 Tl 3.15-3.24, 2 Tm 3.33-3.44
Tl2 0.4508 0.7131 0.3854  4 Tm 2.96-3.24, 1 Tl 3.24
Tm4 0.7946 0.8788 0.5320  3 Tl 3.27-3.49, 5 Tm 3.49-3.55
Tm5 0.2054 0.1212 0.4680  3 Tl 3.27-3.49, 5 Tm 3.49-3.55
Tl3 0.3153 0.3381 0.0313  6 Tm 2.97-3.27, 1 Tl 3.24
Tl4 0.6847 0.6619 0.9687  6 Tm 2.97-3.27, 1 Tl 3.24
Tm6 0.7429 0.3033 0.2109  4 Tl 2.96-3.13
Tm7 0.9307 0.4098 0.7288  3 Tl 3.15-3.24, 2 Tm 3.33-3.44

Calculated values
- SG: C2/m, No. 12


# 6
Compound: Y2Tm2Tl
Source: Alexandria
Functional: PBE-GGA
Structure: optimized geometry

a = 8.1909 Å, b = 6.4090 Å, c = 8.5838 Å
α = 71.83°, β = 60.79°, γ = 50.28°
Last column: nearest neighbours and their distance in Å.
Fractional positions:
Tm1 0.7423 0.0000 0.4189  3 Tm 3.27-3.57, 6 Y 3.48-3.58, 2 Tl 3.53
Y1 0.6486 0.3706 0.7183  2 Tl 3.03-3.31, 1 Y 3.39
Tl1 0.8403 0.3194 0.0000  4 Y 3.03-3.31, 1 Tl 3.15, 2 Tm 3.29
Tm2 0.6035 0.0000 0.1207  3 Tm 3.26-3.57, 2 Tl 3.29, 6 Y 3.53-3.64
Tm3 0.2577 0.0000 0.5811  3 Tm 3.27-3.57, 6 Y 3.48-3.58, 2 Tl 3.53
Tl2 0.1597 0.6806 0.0000  4 Y 3.03-3.31, 1 Tl 3.15, 2 Tm 3.29
Y2 0.0192 0.6294 0.7183  2 Tl 3.03-3.31, 1 Y 3.39
Y3 0.9808 0.3706 0.2817  2 Tl 3.03-3.31, 1 Y 3.39
Y4 0.3514 0.6294 0.2817  2 Tl 3.03-3.31, 1 Y 3.39
Tm4 0.3965 0.0000 0.8793  3 Tm 3.26-3.57, 2 Tl 3.29, 6 Y 3.53-3.64

Calculated values
- SG: C2/m, No. 12


Number 1: ΔH_f (0 K) 119 meV/atom, E -90.592 eV per cell, D(E_F) 26.6 states/eV/cell. Number 2: ΔH_f (0 K) -28 meV/atom, E -51.372 eV per cell, D(E_F) 15.4 states/eV/cell. Number 3: ΔH_f (0 K) -216 meV/atom, E -45.134 eV per cell, D(E_F) 9.0 states/eV/cell. Number 4: ΔH_f (0 K) -182 meV/atom, E -20.494 eV per cell, D(E_F) 4.4 states/eV/cell. Number 5: ΔH_f (0 K) 23 meV/atom, E -46.959 eV per cell, D(E_F) 12.7 states/eV/cell. Number 6: ΔH_f (0 K) -54 meV/atom, E -49.017 eV per cell, D(E_F) 11.9 states/eV/cell.